[1]
{"formula": "Hf3SnCl", "functional": "PBE", "state": "optimized geometry", "e_tot_ev_per_cell": -35.1, "magnetic_moment_mub_per_fu": 0.0, "space_group": "No. 221", "de_polymorph_mev_per_atom": 0.0, "lattice": [[-2.642, -2.577, 2.990], [-0.207, -3.502, -3.202], [3.942, -1.912, 1.836]], "species": ["Cl", "Hf", "Hf", "Sn", "Hf"], "frac_coords": [[0.000, 0.000, 0.000], [0.000, 0.500, 0.000], [0.500, 0.000, 0.000], [0.500, 0.500, 0.500], [0.000, 0.000, 0.500]]}

---

[2]
{"formula": "Dy4Ga2Te", "functional": "PBE", "state": "optimized geometry", "e_tot_ev_per_cell": -65.4, "magnetic_moment_mub_per_fu": 0.0, "space_group": "No. 122", "lattice": [[7.733, -1.073, -0.183], [-1.629, 7.635, 0.170], [-2.917, -3.395, 6.399]], "species": ["Te", "Dy", "Dy", "Te", "Ga", "Dy", "Ga", "Dy", "Dy", "Ga", "Dy", "Dy", "Ga", "Dy"], "frac_coords": [[0.000, 0.000, 0.000], [0.862, 0.611, 0.604], [0.388, 0.491, 0.248], [0.250, 0.750, 0.500], [0.492, 0.375, 0.617], [0.243, 0.140, 0.752], [0.625, 0.242, 0.117], [0.741, 0.138, 0.748], [0.007, 0.259, 0.396], [0.758, 0.875, 0.382], [0.861, 0.612, 0.104], [0.389, 0.993, 0.251], [0.125, 0.508, 0.883], [0.509, 0.757, 0.897]]}